The following is a PBE calculation of AlRuSeBr2 after structural relaxation, from Alexandria.

Values from the calculation:
Polymorph energy (0 for the lowest one)   0.000 eV per atom
Space-group type   No. 123
E_form (uncorrected)   171 meV/atom

Cell: 5.3341 5.3341 4.6456 Å, 90.00 90.00 90.00°
Last column: nearest neighbours and their distance in Å.
Sites, in units of the cell vectors:
Al 0.0000 0.0000 0.0000  8 Br 3.54, 4 Se 3.77
Ru 0.5000 0.5000 0.5000  2 Se 2.32
Se 0.5000 0.5000 0.0000  2 Ru 2.32
Br 0.0000 0.5000 0.5000  2 Ru 2.67
Br 0.5000 0.0000 0.5000  2 Ru 2.67